(1)
Be2FeSi (PBEsol, optimized geometry); E_form (uncorrected) = -315 meV per atom; density of states at the Fermi level = 0.69 states/eV per atom
1.0
3.287 0.000 0.000
0.000 3.287 0.000
0.000 0.000 6.868
Be Fe Si
4 2 2
Cartesian
0.000 0.000 0.000 Be
0.000 1.644 1.717 Be
1.644 0.000 5.151 Be
1.644 1.644 3.434 Be
0.000 1.644 5.151 Fe
1.644 0.000 1.717 Fe
0.000 0.000 3.434 Si
1.644 1.644 0.000 Si


(2)
BeFe2Si (PBEsol, optimized geometry); E_form (uncorrected) = -476 meV per atom; density of states at the Fermi level = 1.01 states/eV per atom
1.0
5.333 0.000 0.000
0.000 5.333 0.000
0.000 0.000 5.333
Be Fe Si
4 8 4
Cartesian
0.000 0.000 0.000 Be
0.000 2.666 2.666 Be
2.666 0.000 2.666 Be
2.666 2.666 0.000 Be
1.333 1.333 1.333 Fe
1.333 1.333 4.000 Fe
1.333 4.000 1.333 Fe
1.333 4.000 4.000 Fe
4.000 1.333 1.333 Fe
4.000 1.333 4.000 Fe
4.000 4.000 1.333 Fe
4.000 4.000 4.000 Fe
0.000 0.000 2.666 Si
0.000 2.666 0.000 Si
2.666 0.000 0.000 Si
2.666 2.666 2.666 Si


(3)
BeFe3Si (PBEsol, optimized geometry); E_form (uncorrected) = 417 meV per atom; density of states at the Fermi level = 0.77 states/eV per atom
1.0
3.777 0.000 0.000
0.000 3.777 0.000
0.000 0.000 3.777
Be Fe Si
1 3 1
Cartesian
0.000 0.000 0.000 Be
0.000 0.000 1.888 Fe
0.000 1.888 0.000 Fe
1.888 0.000 0.000 Fe
1.888 1.888 1.888 Si


(4)
BeFe2Si (PBEsol, optimized geometry); E_form (uncorrected) = -437 meV per atom; density of states at the Fermi level = 0.83 states/eV per atom
1.0
3.759 0.000 0.000
0.000 3.759 0.000
0.000 0.000 2.694
Be Fe Si
1 2 1
Cartesian
0.000 0.000 0.000 Be
0.000 1.879 1.347 Fe
1.879 0.000 1.347 Fe
1.879 1.879 0.000 Si


(5)
Be4FeSi (PBEsol, optimized geometry); E_form (uncorrected) = -282 meV per atom
1.0
0.000 2.902 2.902
2.902 0.000 2.902
2.902 2.902 0.000
Be Fe Si
4 1 1
Cartesian
2.180 2.180 2.180 Be
3.623 3.623 2.180 Be
3.623 2.180 3.623 Be
2.180 3.623 3.623 Be
4.353 4.353 4.353 Fe
0.000 0.000 0.000 Si


(6)
SrBe2Fe (PBEsol, optimized geometry); energy of formation = 1.09 eV per atom; density of states at the Fermi level = 1.06 states/eV per atom
1.0
3.992 0.000 0.000
0.000 4.043 0.000
0.000 0.000 4.165
Sr Be Fe
1 2 1
Cartesian
0.000 0.000 0.000 Sr
0.000 2.022 2.083 Be
1.996 0.000 2.083 Be
1.996 2.022 0.000 Fe


What ρ values result from the calculations? In sequence: 4.6 6.5 6.3 6.5 4.1 4.0 g/cm3.